## Pm3PS (PBE)

Data for an optimized crystal structure of Pm3PS.

abc: 3.668 6.696 6.697
angles: 59.99 90.00 90.00
Element x y z (fractional)
S 0.220 0.100 0.062
Pm 0.720 0.106 0.391
Pm 0.720 0.764 0.069
Pm 0.720 0.429 0.726
P 0.220 0.433 0.395

Values from the calculation:
- E_tot (eV per atom) = -5.890
- calculated density (g/cm³) = 5.81
- magnetic moment (μB/f.u.) = 0.00
- ΔE_f (raw) (eV/f.u.) = -5.66
- calculated volume (A^3/atom) = 28.49